Below is a relaxed structure of LiTl2Si, with properties calculated at the PBEsol level.

Values from the calculation:
The value obtained for the uncorrected formation energy is 10.9 kJ/mol of atoms. Its raw total energy is -3.131 eV per atom.

Lattice parameters (Å, degrees): 4.112 4.589 4.540 90.00 90.00 90.00
Fractional coordinates of all 4 atoms:
Si 0.500 0.000 0.500
Tl 0.000 0.500 0.500
Tl 0.000 0.000 0.000
Li 0.500 0.500 0.000